ReAgTe2 (PBEsol, relaxed); E_form (uncorrected) = 381 meV per atom; size of the total moment = 0.00 μB/f.u.; SG = No. 166; V = 20.833 Å³ per atom
1.0
3.382 0.000 0.000
1.691 2.929 0.000
1.691 0.976 8.412
Re Te Ag
1 2 1
Cartesian
0.000 0.000 0.000
1.691 0.976 1.896
5.073 2.929 6.516
3.382 1.953 4.206